Record 1
The following is a DFT calculation (PBE) of crystalline LiCaInO3 at its relaxed geometry.

Density   4.641 Mg/m³
Size of the total moment   0.000 μB per cell
Formation energy without anion corrections   -2042 meV per atom
Space group   P2_1/m (11)

a = 3.276 Å, b = 6.838 Å, c = 6.866 Å
α = 102.52°, β = 90.00°, γ = 90.00°
Positions (direct):
In 0.750 0.337 0.824
In 0.250 0.663 0.176
O 0.250 0.806 0.493
O 0.750 0.880 0.133
O 0.250 0.566 0.841
O 0.750 0.194 0.507
O 0.250 0.120 0.867
O 0.750 0.434 0.159
Li 0.250 0.089 0.589
Li 0.750 0.911 0.411
Ca 0.250 0.186 0.223
Ca 0.750 0.814 0.777

=====

Record 2
The following is a DFT calculation (PBE) of crystalline Dy3PI3 at its relaxed geometry.

Density   6.114 Mg/m³
Size of the total moment   0.000 μB per cell
Formation energy without anion corrections   -1325 meV per atom
Space group   R-3 (148)

a = 7.063 Å, b = 7.063 Å, c = 12.021 Å
α = 72.92°, β = 72.92°, γ = 60.00°
Positions (direct):
Dy 0.957 0.298 0.130
Dy 0.384 0.043 0.870
Dy 0.043 0.702 0.870
Dy 0.702 0.384 0.870
Dy 0.616 0.957 0.130
Dy 0.298 0.616 0.130
I 0.228 0.896 0.311
I 0.104 0.435 0.689
I 0.772 0.104 0.689
I 0.896 0.565 0.311
I 0.435 0.772 0.689
I 0.565 0.228 0.311
P 0.667 0.667 0.000
P 0.333 0.333 0.000

=====

Record 3
The following is a DFT calculation (PBE) of crystalline Na2ZnGe3Pd4 at its relaxed geometry.

Density   6.646 Mg/m³
Size of the total moment   0.000 μB per cell
Space group   P-4m2 (115)
Energy relative to the elements   -398 meV per atom

a = 4.235 Å, b = 4.235 Å, c = 10.515 Å
α = 90.00°, β = 90.00°, γ = 90.00°
Positions (direct):
Zn 0.500 0.500 0.500
Ge 0.000 0.500 0.128
Ge 0.000 0.000 0.500
Ge 0.500 0.000 0.872
Pd 0.000 0.500 0.362
Pd 0.500 0.500 0.000
Pd 0.500 0.000 0.638
Pd 0.000 0.000 0.000
Na 0.000 0.500 0.750
Na 0.500 0.000 0.250

=====

Record 4
The following is a DFT calculation (PBE) of crystalline AsOsSe2Br at its relaxed geometry.

Density   6.408 Mg/m³
Size of the total moment   4.421 μB per cell
Formation energy without anion corrections   1460 meV per atom
Space group   P4/mmm (123)

a = 5.093 Å, b = 5.093 Å, c = 5.024 Å
α = 90.00°, β = 90.00°, γ = 90.00°
Each line ends with the local moment (μB).
Positions (direct):
Br 0.000 0.000 0.500  0.09
Se 0.000 0.500 0.000  0.13
Se 0.500 0.000 0.000  0.13
Os 0.500 0.500 0.500  3.35
As 0.000 0.000 0.000  0.04

=====

Record 5
The following is a DFT calculation (PBE) of crystalline Mn2HgW at its relaxed geometry.

Density   12.778 Mg/m³
Size of the total moment   5.872 μB per cell
Space group   C2/m (12)
Energy relative to the elements   519 meV per atom

a = 4.641 Å, b = 4.641 Å, c = 5.230 Å
α = 83.45°, β = 83.45°, γ = 35.06°
Each line ends with the local moment (μB).
Positions (direct):
Hg 0.250 0.250 0.250  -0.01
Mn 0.499 0.499 0.529  3.05
Mn 0.001 0.001 0.971  3.05
W 0.750 0.750 0.750  -0.39

=====

Record 6
The following is a DFT calculation (PBE) of crystalline Pm2TmRu at its relaxed geometry.

Density   8.394 Mg/m³
Size of the total moment   0.000 μB per cell
Space group   Pnma (62)
Energy relative to the elements   -255 meV per atom

a = 6.359 Å, b = 7.347 Å, c = 9.485 Å
α = 90.00°, β = 90.00°, γ = 90.00°
Positions (direct):
Pm 0.329 0.178 0.065
Pm 0.171 0.678 0.065
Pm 0.829 0.322 0.935
Pm 0.671 0.822 0.935
Pm 0.171 0.678 0.435
Pm 0.671 0.822 0.565
Pm 0.829 0.322 0.565
Pm 0.329 0.178 0.435
Tm 0.143 0.956 0.750
Tm 0.643 0.544 0.250
Tm 0.357 0.456 0.750
Tm 0.857 0.044 0.250
Ru 0.035 0.385 0.250
Ru 0.465 0.885 0.250
Ru 0.535 0.115 0.750
Ru 0.965 0.615 0.750

=====

Record 7
The following is a DFT calculation (PBE) of crystalline Er3TlCu2 at its relaxed geometry.

Density   10.276 Mg/m³
Size of the total moment   0.000 μB per cell
Space group   P4/mmm (123)
Energy relative to the elements   -285 meV per atom

a = 3.467 Å, b = 3.467 Å, c = 11.201 Å
α = 90.00°, β = 90.00°, γ = 90.00°
Positions (direct):
Er 0.000 0.000 0.305
Er 0.000 0.000 0.695
Er 0.000 0.000 0.000
Cu 0.500 0.500 0.154
Cu 0.500 0.500 0.846
Tl 0.500 0.500 0.500

=====

Record 8
The following is a DFT calculation (PBE) of crystalline PaSn2Mo at its relaxed geometry.

Density   10.105 Mg/m³
Size of the total moment   0.000 μB per cell
Space group   R-3m (166)
Energy relative to the elements   487 meV per atom

a = 3.087 Å, b = 3.087 Å, c = 11.380 Å
α = 82.21°, β = 82.21°, γ = 60.00°
Positions (direct):
Mo 0.500 0.500 0.500
Pa 0.000 0.000 0.000
Sn 0.417 0.417 0.749
Sn 0.583 0.583 0.251

=====

Record 9
The following is a DFT calculation (PBE) of crystalline TaCd3Co at its relaxed geometry.

Density   6.094 Mg/m³
Size of the total moment   2.120 μB per cell
Space group   Pm-3m (221)
Energy relative to the elements   1736 meV per atom

a = 5.398 Å, b = 5.398 Å, c = 5.398 Å
α = 90.00°, β = 90.00°, γ = 90.00°
Each line ends with the local moment (μB).
Positions (direct):
Ta 0.000 0.000 0.000  -0.07
Cd 0.000 0.000 0.500  -0.01
Cd 0.000 0.500 0.000  -0.01
Cd 0.500 0.000 0.000  0.00
Co 0.500 0.500 0.500  2.18

=====

Record 10
The following is a DFT calculation (PBE) of crystalline NaY2Br2 at its relaxed geometry.

Density   4.523 Mg/m³
Size of the total moment   0.000 μB per cell
Formation energy without anion corrections   -532 meV per atom
Space group   P4/mbm (127)

a = 8.630 Å, b = 8.630 Å, c = 3.555 Å
α = 90.00°, β = 90.00°, γ = 90.00°
Positions (direct):
Y 0.841 0.341 0.500
Y 0.341 0.159 0.500
Y 0.659 0.841 0.500
Y 0.159 0.659 0.500
Br 0.365 0.865 0.000
Br 0.135 0.365 0.000
Br 0.865 0.635 0.000
Br 0.635 0.135 0.000
Na 0.500 0.500 0.000
Na 0.000 0.000 0.000

=====

Record 11
The following is a DFT calculation (PBE) of crystalline YIn at its relaxed geometry.

Density   5.505 Mg/m³
Size of the total moment   1.098 μB per cell
Space group   Amm2 (38)
Energy relative to the elements   -185 meV per atom

a = 3.639 Å, b = 12.921 Å, c = 7.841 Å
α = 90.00°, β = 90.00°, γ = 90.00°
Each line ends with the local moment (μB).
Positions (direct):
In 0.000 0.210 0.312  0.00
In 0.000 0.000 0.900  0.00
In 0.000 0.500 0.400  0.00
In 0.000 0.290 0.812  0.00
In 0.000 0.790 0.312  0.00
In 0.000 0.710 0.812  0.00
Y 0.500 0.500 0.729  0.11
Y 0.500 0.869 0.625  0.10
Y 0.500 0.631 0.125  0.10
Y 0.500 0.131 0.625  0.10
Y 0.500 0.000 0.229  0.11
Y 0.500 0.369 0.125  0.10

=====

Record 12
The following is a DFT calculation (PBE) of crystalline RbSrCa2Se at its relaxed geometry.

Density   2.279 Mg/m³
Size of the total moment   0.987 μB per cell
Formation energy without anion corrections   326 meV per atom
Space group   P4/mmm (123)

a = 6.365 Å, b = 5.974 Å, c = 6.365 Å
α = 90.00°, β = 90.00°, γ = 90.00°
Each line ends with the local moment (μB).
Positions (direct):
Se 0.000 0.500 0.000  0.00
Ca 0.500 0.000 0.000  0.07
Ca 0.000 0.000 0.500  0.13
Sr 0.500 0.500 0.500  0.03
Rb 0.000 0.000 0.000  0.03